Entry 1:
The following is a DFT calculation (PBE) of a geometry-optimized BeAlH4 structure.

```
BeAlH4
1.0
-2.1496 2.1496 2.4512
2.1496 -2.1496 2.4512
2.1496 2.1496 -2.4512
Be Al H
1 1 4
direct
0.0000 0.0000 0.0000
0.7500 0.2500 0.5000
0.2193 0.3370 0.4832
0.2639 0.7807 0.1177
0.6630 0.1462 0.8823
0.8538 0.7361 0.5168
```

Values from the calculation:
Magnetic moment (μB per formula unit): 0.000
Distance to the lowest polymorph of the same formula (meV per atom): 29

---

Entry 2:
The following is a DFT calculation (PBE) of a geometry-optimized TiPtBr2 structure.

```
TiPtBr2
1.0
0.0000 3.3495 3.3495
3.3495 0.0000 3.3495
3.3495 3.3495 0.0000
Ti Pt Br
1 1 2
direct
0.0000 0.0000 0.0000
0.5000 0.5000 0.5000
0.2500 0.2500 0.2500
0.7500 0.7500 0.7500
```

Values from the calculation:
Formation energy from raw total energies (eV/atom): 0.20
Magnetic moment (μB per formula unit): 0.000
Distance to the lowest polymorph of the same formula (meV per atom): 406

---

Entry 3:
The following is a DFT calculation (PBE) of a geometry-optimized Li2PmRh structure.

```
Li2PmRh
1.0
7.5337 0.0000 0.0000
0.0000 7.9617 0.0000
0.0000 0.0000 5.2457
Li Pm Rh
8 4 4
direct
0.1649 0.0560 0.1019
0.1649 0.4440 0.1019
0.3351 0.5560 0.6019
0.3351 0.9440 0.6019
0.6649 0.0560 0.3981
0.6649 0.4440 0.3981
0.8351 0.5560 0.8981
0.8351 0.9440 0.8981
0.0375 0.2500 0.6025
0.4625 0.7500 0.1025
0.5375 0.2500 0.8975
0.9625 0.7500 0.3975
0.1290 0.7500 0.8865
0.3710 0.2500 0.3865
0.6290 0.7500 0.6135
0.8710 0.2500 0.1135
```

Values from the calculation:
Magnetic moment (μB per formula unit): 0.000
Formation enthalpy at 0 K (meV per atom): -264
Distance to the lowest polymorph of the same formula (meV per atom): 0

---

Entry 4:
The following is a DFT calculation (PBE) of a geometry-optimized LiHg4Au2 structure.

```
LiHg4Au2
1.0
4.8109 0.0000 0.0000
0.0000 4.8109 0.0000
0.0000 0.0000 6.6802
Li Hg Au
1 4 2
direct
0.0000 0.0000 0.0000
0.0000 0.5000 0.2582
0.0000 0.5000 0.7418
0.5000 0.0000 0.2582
0.5000 0.0000 0.7418
0.0000 0.0000 0.5000
0.5000 0.5000 0.0000
```

Values from the calculation:
Magnetic moment (μB per formula unit): 0.000
Formation enthalpy at 0 K (meV per atom): -109

---

Entry 5:
The following is a DFT calculation (PBE) of a geometry-optimized Pr2GePd structure.

```
Pr2GePd
1.0
2.2030 1.2719 6.7410
-2.2030 1.2719 6.7410
0.0000 -2.5438 6.7410
Pr Ge Pd
2 1 1
direct
0.2504 0.2504 0.2504
0.7496 0.7496 0.7496
0.0000 0.0000 0.0000
0.5000 0.5000 0.5000
```

Values from the calculation:
Magnetic moment (μB per formula unit): 0.000
Formation enthalpy at 0 K (meV per atom): -619

---

Entry 6:
The following is a DFT calculation (PBE) of a geometry-optimized SrPa4Si3N12 structure.

```
SrPa4Si3N12
1.0
-4.0565 4.0565 4.0565
4.0565 -4.0565 4.0565
4.0565 4.0565 -4.0565
Sr Pa Si N
1 4 3 12
direct
0.0000 0.0000 0.0000
0.0000 0.0000 0.5000
0.0000 0.5000 0.0000
0.5000 0.0000 0.0000
0.5000 0.5000 0.5000
0.0000 0.5000 0.5000
0.5000 0.0000 0.5000
0.5000 0.5000 0.0000
0.1518 0.3344 0.4861
0.1518 0.6656 0.8174
0.1826 0.8482 0.3344
0.3344 0.1826 0.8482
0.3344 0.4861 0.1518
0.4861 0.1518 0.3344
0.5139 0.8482 0.6656
0.6656 0.5139 0.8482
0.6656 0.8174 0.1518
0.8174 0.1518 0.6656
0.8482 0.3344 0.1826
0.8482 0.6656 0.5139
```

Values from the calculation:
Formation energy from raw total energies (eV/atom): -0.87
Magnetic moment (μB per formula unit): 0.008

---

Entry 7:
The following is a DFT calculation (PBE) of a geometry-optimized TlIn3 structure.

```
TlIn3
1.0
-1.8832 2.7324 5.5065
1.8832 -2.7324 5.5065
1.8832 2.7324 -5.5065
Tl In
1 3
direct
0.0000 0.0000 0.0000
0.2559 0.7559 0.5000
0.5000 0.5000 0.0000
0.7441 0.2441 0.5000
```

Values from the calculation:
Magnetic moment (μB per formula unit): 0.000
Formation enthalpy at 0 K (meV per atom): 30

---

Entry 8:
The following is a DFT calculation (PBE) of a geometry-optimized TmTe structure.

```
TmTe
1.0
0.0000 3.0415 3.0415
3.0415 0.0000 3.0415
3.0415 3.0415 0.0000
Tm Te
1 1
direct
0.0000 0.0000 0.0000
0.5000 0.5000 0.5000
```

Values from the calculation:
Formation energy from raw total energies (eV/atom): -1.16
Magnetic moment (μB per formula unit): 0.000

---

Entry 9:
The following is a DFT calculation (PBE) of a geometry-optimized PrSc5Ag4 structure.

```
PrSc5Ag4
1.0
3.4181 0.0000 0.0000
0.0000 3.4181 0.0000
0.0000 0.0000 18.9466
Pr Sc Ag
1 5 4
direct
0.0000 0.0000 0.0000
0.5000 0.5000 0.1334
0.5000 0.5000 0.3157
0.5000 0.5000 0.5000
0.5000 0.5000 0.6843
0.5000 0.5000 0.8666
0.0000 0.0000 0.2238
0.0000 0.0000 0.4086
0.0000 0.0000 0.5914
0.0000 0.0000 0.7762
```

Values from the calculation:
Magnetic moment (μB per formula unit): 0.000
Formation enthalpy at 0 K (meV per atom): -200

---

Entry 10:
The following is a DFT calculation (PBE) of a geometry-optimized Tl2CrSnSe4 structure.

```
Tl2CrSnSe4
1.0
-4.0235 4.3530 5.8970
4.0235 -4.3530 5.8970
4.0235 4.3530 -5.8970
Tl Cr Sn Se
4 2 2 8
direct
0.0000 0.0000 0.0000
0.5000 0.0000 0.0000
0.5000 0.0000 0.5000
0.5000 0.5000 0.5000
0.0000 0.0000 0.5000
0.0000 0.5000 0.0000
0.0000 0.5000 0.5000
0.5000 0.5000 0.0000
0.1896 0.7441 0.4455
0.2014 0.2559 0.9455
0.2200 0.2315 0.5116
0.2200 0.7084 0.9884
0.7800 0.2916 0.0116
0.7800 0.7685 0.4884
0.7986 0.7441 0.0545
0.8104 0.2559 0.5545
```

Values from the calculation:
Formation energy from raw total energies (eV/atom): -0.40
Magnetic moment (μB per formula unit): 2.485

---

Entry 11:
The following is a DFT calculation (PBE) of a geometry-optimized La2YAs structure.

```
La2YAs
1.0
0.0000 3.8118 3.8118
3.8118 0.0000 3.8118
3.8118 3.8118 0.0000
La Y As
2 1 1
direct
0.0000 0.0000 0.0000
0.2500 0.2500 0.2500
0.7500 0.7500 0.7500
0.5000 0.5000 0.5000
```

Values from the calculation:
Magnetic moment (μB per formula unit): 0.229
Formation enthalpy at 0 K (meV per atom): -220

---

Entry 12:
The following is a DFT calculation (PBE) of a geometry-optimized LaIn2PtPb structure.

```
LaIn2PtPb
1.0
5.1999 0.0000 0.0000
0.0000 5.1999 0.0000
0.0000 0.0000 5.5618
La In Pt Pb
1 2 1 1
direct
0.0000 0.0000 0.0000
0.0000 0.5000 0.5000
0.5000 0.0000 0.5000
0.0000 0.0000 0.5000
0.5000 0.5000 0.0000
```

Values from the calculation:
Magnetic moment (μB per formula unit): 0.000
Formation enthalpy at 0 K (meV per atom): -458